No. 1
Here is an optimized crystal structure of Ho4Ga16Co3 from OQMD via LeMat-Bulk. Energies are from PBE.

Unit cell a=6.000 b=6.000 c=11.048 alpha=90.00 beta=90.00 gamma=90.00
Sites, in units of the cell vectors:
Co1 0.000 0.000 0.000
Co2 0.500 0.000 0.500
Co3 0.000 0.500 0.500
Ga1 0.281 0.281 0.000
Ga2 0.719 0.281 0.000
Ga3 0.281 0.719 0.000
Ga4 0.719 0.719 0.000
Ga5 0.500 0.500 0.196
Ga6 0.000 0.000 0.218
Ga7 0.249 0.249 0.384
Ga8 0.751 0.249 0.384
Ga9 0.249 0.751 0.384
Ga10 0.751 0.751 0.384
Ga11 0.249 0.249 0.616
Ga12 0.751 0.249 0.616
Ga13 0.249 0.751 0.616
Ga14 0.751 0.751 0.616
Ga15 0.000 0.000 0.782
Ga16 0.500 0.500 0.804
Ho1 0.500 0.000 0.195
Ho2 0.000 0.500 0.195
Ho3 0.500 0.000 0.805
Ho4 0.000 0.500 0.805

Output
SG: P4/mmm

***

No. 2
Here is an optimized crystal structure of ZrZnCo2 from OQMD via LeMat-Bulk. Energies are from PBE.

Unit cell a=5.741 b=5.740 c=6.631 alpha=90.00 beta=90.00 gamma=90.00
Sites, in units of the cell vectors:
Co1 0.500 0.500 0.250
Co2 0.500 0.000 0.250
Co3 0.000 0.500 0.250
Co4 0.000 0.000 0.250
Co5 0.000 0.500 0.750
Co6 0.000 0.000 0.750
Co7 0.500 0.500 0.750
Co8 0.500 0.000 0.750
Zn1 0.250 0.250 0.000
Zn2 0.750 0.750 0.500
Zn3 0.250 0.250 0.500
Zn4 0.750 0.750 0.000
Zr1 0.750 0.250 0.000
Zr2 0.250 0.750 0.000
Zr3 0.750 0.250 0.500
Zr4 0.250 0.750 0.500

Output
Energy of formation in kJ/mol of formula units: -92
SG: P4/mmm

***

No. 3
Here is an optimized crystal structure of PrGeH2O4 from OQMD via LeMat-Bulk. Energies are from PBE.

Unit cell a=6.435 b=6.435 c=6.435 alpha=114.54 beta=99.75 gamma=114.54
Sites, in units of the cell vectors:
Ge1 0.000 0.000 0.000
Ge2 0.750 0.500 0.250
H1 0.524 0.500 0.024
H2 0.226 0.000 0.226
H3 0.976 0.500 0.476
H4 0.774 0.000 0.774
O1 0.196 0.832 0.027
O2 0.555 0.669 0.223
O3 0.195 0.168 0.364
O4 0.114 0.668 0.445
O5 0.777 0.332 0.446
O6 0.636 0.831 0.804
O7 0.973 0.169 0.805
O8 0.554 0.331 0.886
Pr1 0.500 0.000 0.500
Pr2 0.250 0.500 0.750

Output
Distance to the lowest polymorph of the same formula in meV per atom: 370
SG: I4_1/amd

***

No. 4
Here is an optimized crystal structure of BaTmCuSe2S from OQMD via LeMat-Bulk. Energies are from PBE.

Unit cell a=7.286 b=7.286 c=10.288 alpha=90.00 beta=90.00 gamma=147.31
Sites, in units of the cell vectors:
Ba1 0.737 0.263 0.250
Ba2 0.263 0.737 0.750
Cu1 0.472 0.528 0.250
Cu2 0.528 0.472 0.750
S1 0.062 0.938 0.250
S2 0.938 0.062 0.750
Se1 0.365 0.635 0.058
Se2 0.365 0.635 0.442
Se3 0.635 0.365 0.558
Se4 0.635 0.365 0.942
Tm1 0.000 0.000 0.000
Tm2 0.000 0.000 0.500

Output
SG: Cmcm

***

No. 5
Here is an optimized crystal structure of ScAgAsO from OQMD via LeMat-Bulk. Energies are from PBE.

Unit cell a=5.346 b=5.346 c=4.751 alpha=90.00 beta=90.00 gamma=90.00
Sites, in units of the cell vectors:
Ag1 0.000 0.500 0.001
Ag2 0.500 0.000 0.999
As1 0.500 0.000 0.499
As2 0.000 0.500 0.501
O1 0.000 0.000 0.000
O2 0.500 0.500 0.000
Sc1 0.000 0.000 0.500
Sc2 0.500 0.500 0.500

Output
Distance to the lowest polymorph of the same formula in meV per atom: 628
SG: P4/nmm

***

No. 6
Here is an optimized crystal structure of TbNdH4 from OQMD via LeMat-Bulk. Energies are from PBE.

Unit cell a=3.761 b=3.761 c=5.351 alpha=90.00 beta=90.00 gamma=90.00
Sites, in units of the cell vectors:
H1 0.500 0.000 0.263
H2 0.000 0.500 0.263
H3 0.500 0.000 0.737
H4 0.000 0.500 0.737
Nd1 0.000 0.000 0.000
Tb1 0.500 0.500 0.500

Output
SG: P4/mmm

***

No. 7
Here is an optimized crystal structure of HfMg2 from OQMD via LeMat-Bulk. Energies are from PBE.

Unit cell a=13.965 b=8.637 c=5.038 alpha=90.00 beta=90.00 gamma=62.68
Sites, in units of the cell vectors:
Hf1 0.989 0.016 0.000
Hf2 0.759 0.250 0.000
Hf3 0.334 0.322 0.000
Hf4 0.836 0.865 0.000
Hf5 0.860 0.039 0.500
Hf6 0.436 0.112 0.500
Hf7 0.205 0.345 0.500
Hf8 0.358 0.496 0.500
Mg1 0.584 0.088 0.000
Mg2 0.166 0.164 0.000
Mg3 0.919 0.432 0.000
Mg4 0.497 0.502 0.000
Mg5 0.085 0.584 0.000
Mg6 0.669 0.678 0.000
Mg7 0.250 0.737 0.000
Mg8 0.414 0.916 0.000
Mg9 0.028 0.197 0.500
Mg10 0.611 0.273 0.500
Mg11 0.780 0.445 0.500
Mg12 0.945 0.624 0.500
Mg13 0.526 0.683 0.500
Mg14 0.109 0.777 0.500
Mg15 0.698 0.859 0.500
Mg16 0.275 0.930 0.500

Output
SG: P2_1/m

***

No. 8
Here is an optimized crystal structure of BeFeHgMo from OQMD via LeMat-Bulk. Energies are from PBE.

Unit cell a=4.306 b=4.306 c=4.306 alpha=60.00 beta=60.00 gamma=60.00
Sites, in units of the cell vectors:
Be1 0.750 0.750 0.750
Fe1 0.500 0.500 0.500
Hg1 0.250 0.250 0.250
Mo1 0.000 0.000 0.000

Output
Distance to the lowest polymorph of the same formula in meV per atom: 312
SG: F-43m

***

Total magnetic moment values, unit μB per cell, following the record order: 0.005 0.004 1.392 0.007 0.003 0.002 0.011 2.045.
Electronic total energy values, unit eV/atom, following the record order: -4.34 -6.24 -5.88 -5.17 -5.52 -4.47 -4.25 -5.08.